Entry 1:
# KTlW2

Crystalline KTlW2 at its relaxed geometry (GGA-PBEsol, the Alexandria database).

Geometry as extended XYZ:
```
4
Lattice="1.534 -2.394 0.000 1.534 2.394 0.000 0.000 0.000 11.042" Properties=species:S:1:pos:R:3 pbc="T T T"
K 0.000 0.000 0.000
Tl 0.000 0.000 5.521
W 1.534 0.000 3.067
W 1.534 0.000 7.975
```

Summary:
* energy of formation: 1.346 eV per atom
* space group: Cmmm, No. 65

Entry 2:
# KTlW

Crystalline KTlW at its relaxed geometry (GGA-PBEsol, the Alexandria database).

Geometry as extended XYZ:
```
3
Lattice="0.000 3.650 3.650 3.650 0.000 3.650 3.650 3.650 0.000" Properties=species:S:1:pos:R:3 pbc="T T T"
K 0.000 0.000 0.000
Tl 1.825 1.825 1.825
W 5.474 5.474 5.474
```

Summary:
* energy of formation: 2.433 eV per atom
* space group: F-43m, No. 216

Entry 3:
# KTlW

Crystalline KTlW at its relaxed geometry (GGA-PBEsol, the Alexandria database).

Geometry as extended XYZ:
```
3
Lattice="5.283 0.000 0.000 -2.642 4.575 0.000 0.000 0.000 2.820" Properties=species:S:1:pos:R:3 pbc="T T T"
K 0.000 0.000 0.000
Tl 0.000 3.050 1.410
W 2.642 1.525 1.410
```

Summary:
* energy of formation: 1.434 eV per atom
* space group: P-6m2, No. 187

Entry 4:
# KY4Tl

Crystalline KY4Tl at its relaxed geometry (GGA-PBEsol, the Alexandria database).

Geometry as extended XYZ:
```
6
Lattice="0.000 4.610 4.610 4.610 0.000 4.610 4.610 4.610 0.000" Properties=species:S:1:pos:R:3 pbc="T T T"
K 0.000 0.000 0.000
Y 5.746 3.475 3.475
Y 3.475 5.746 3.475
Y 3.475 3.475 5.746
Y 5.746 5.746 5.746
Tl 2.305 2.305 2.305
```

Summary:
* energy of formation: 0.407 eV per atom
* space group: F-43m, No. 216

Entry 5:
# K2YTl

Crystalline K2YTl at its relaxed geometry (GGA-PBEsol, the Alexandria database).

Geometry as extended XYZ:
```
4
Lattice="0.000 4.177 4.177 4.177 0.000 4.177 4.177 4.177 0.000" Properties=species:S:1:pos:R:3 pbc="T T T"
K 2.088 2.088 2.088
K 6.265 6.265 6.265
Y 0.000 0.000 0.000
Tl 4.177 4.177 4.177
```

Summary:
* energy of formation: 0.502 eV per atom
* space group: Fm-3m, No. 225

Entry 6:
# KY2Tl

Crystalline KY2Tl at its relaxed geometry (GGA-PBEsol, the Alexandria database).

Geometry as extended XYZ:
```
4
Lattice="-1.914 2.752 5.957 1.914 -2.752 5.957 1.914 2.752 -5.957" Properties=species:S:1:pos:R:3 pbc="T T T"
K 0.000 0.000 0.000
Y 0.000 0.000 5.227
Y 0.000 2.752 2.510
Tl 1.914 0.000 2.789
```

Summary:
* energy of formation: 0.194 eV per atom
* space group: Imm2, No. 44

Entry 7:
# K2YTl

Crystalline K2YTl at its relaxed geometry (GGA-PBEsol, the Alexandria database).

Geometry as extended XYZ:
```
4
Lattice="4.069 0.000 0.000 0.000 5.269 0.000 0.000 0.000 6.476" Properties=species:S:1:pos:R:3 pbc="T T T"
K 0.000 0.000 0.000
K 2.035 2.635 0.000
Y 0.000 2.635 3.238
Tl 2.035 0.000 3.238
```

Summary:
* energy of formation: 0.196 eV per atom
* space group: Pmmm, No. 47

Entry 8:
# KY2Tl

Crystalline KY2Tl at its relaxed geometry (GGA-PBEsol, the Alexandria database).

Geometry as extended XYZ:
```
4
Lattice="3.512 0.000 0.000 0.000 3.512 0.000 0.000 0.000 11.132" Properties=species:S:1:pos:R:3 pbc="T T T"
K 0.000 0.000 0.000
Y 1.756 1.756 3.530
Y 1.756 1.756 7.602
Tl 0.000 0.000 5.566
```

Summary:
* energy of formation: 0.048 eV per atom
* space group: P4/mmm, No. 123

Entry 9:
# KY2Tl

Crystalline KY2Tl at its relaxed geometry (GGA-PBEsol, the Alexandria database).

Geometry as extended XYZ:
```
4
Lattice="5.707 -1.718 0.000 5.707 1.718 0.000 -0.965 0.000 6.679" Properties=species:S:1:pos:R:3 pbc="T T T"
K 0.000 0.000 0.000
Y 1.944 0.000 4.535
Y 5.052 0.000 3.201
Tl 8.238 0.000 1.833
```

Summary:
* energy of formation: 0.216 eV per atom
* space group: Cm, No. 8

Entry 10:
# K2YTl

Crystalline K2YTl at its relaxed geometry (GGA-PBEsol, the Alexandria database).

Geometry as extended XYZ:
```
4
Lattice="3.306 -6.701 0.000 3.306 6.701 0.000 -2.052 0.000 3.189" Properties=species:S:1:pos:R:3 pbc="T T T"
K 1.653 3.351 0.000
K 1.653 -3.351 0.000
Y -1.026 0.000 1.594
Tl 2.280 0.000 1.594
```

Summary:
* energy of formation: 0.245 eV per atom
* space group: C2/m, No. 12

Entry 11:
# KY2Tl

Crystalline KY2Tl at its relaxed geometry (GGA-PBEsol, the Alexandria database).

Geometry as extended XYZ:
```
4
Lattice="1.841 1.063 11.798 -1.841 1.063 11.798 0.000 -2.126 11.798" Properties=species:S:1:pos:R:3 pbc="T T T"
K 0.000 0.000 0.000
Y 0.000 0.000 8.234
Y 0.000 0.000 27.160
Tl 0.000 0.000 17.697
```

Summary:
* energy of formation: 0.083 eV per atom
* space group: R-3m, No. 166

Entry 12:
# K2TlZn

Crystalline K2TlZn at its relaxed geometry (GGA-PBEsol, the Alexandria database).

Geometry as extended XYZ:
```
4
Lattice="1.907 1.101 11.164 -1.907 1.101 11.164 0.000 -2.202 11.164" Properties=species:S:1:pos:R:3 pbc="T T T"
K 0.000 0.000 8.248
K 0.000 0.000 25.244
Tl 0.000 0.000 0.000
Zn 0.000 0.000 16.746
```

Summary:
* energy of formation: 0.247 eV per atom
* space group: R-3m, No. 166

Entry 13:
# KTl2Zn

Crystalline KTl2Zn at its relaxed geometry (GGA-PBEsol, the Alexandria database).

Geometry as extended XYZ:
```
4
Lattice="-2.171 2.724 4.768 2.171 -2.724 4.768 2.171 2.724 -4.768" Properties=species:S:1:pos:R:3 pbc="T T T"
K 0.000 0.000 0.000
Tl 2.171 0.000 2.698
Tl 0.000 0.000 5.169
Zn 0.000 2.724 2.221
```

Summary:
* energy of formation: 0.104 eV per atom
* space group: Imm2, No. 44

Entry 14:
# K2TlZn

Crystalline K2TlZn at its relaxed geometry (GGA-PBEsol, the Alexandria database).

Geometry as extended XYZ:
```
4
Lattice="-2.513 2.524 5.248 2.513 -2.524 5.248 2.513 2.524 -5.248" Properties=species:S:1:pos:R:3 pbc="T T T"
K 0.000 0.000 2.614
K 0.000 0.000 7.881
Tl 0.000 2.524 0.000
Zn 2.513 0.000 0.000
```

Summary:
* energy of formation: 0.196 eV per atom
* space group: Immm, No. 71

Entry 15:
# KTl2Zn

Crystalline KTl2Zn at its relaxed geometry (GGA-PBEsol, the Alexandria database).

Geometry as extended XYZ:
```
4
Lattice="0.000 3.738 3.738 3.738 0.000 3.738 3.738 3.738 0.000" Properties=species:S:1:pos:R:3 pbc="T T T"
K 0.000 0.000 0.000
Tl 1.869 1.869 1.869
Tl 5.607 5.607 5.607
Zn 3.738 3.738 3.738
```

Summary:
* energy of formation: 0.114 eV per atom
* space group: Fm-3m, No. 225

Entry 16:
# K2TlZn

Crystalline K2TlZn at its relaxed geometry (GGA-PBEsol, the Alexandria database).

Geometry as extended XYZ:
```
4
Lattice="3.915 0.000 0.000 0.000 3.915 0.000 0.000 0.000 9.831" Properties=species:S:1:pos:R:3 pbc="T T T"
K 0.000 0.000 0.000
K 1.958 1.958 3.923
Tl 1.958 1.958 7.343
Zn 0.000 0.000 6.376
```

Summary:
* energy of formation: 0.072 eV per atom
* space group: P4mm, No. 99

Entry 17:
# KTl2Zn

Crystalline KTl2Zn at its relaxed geometry (GGA-PBEsol, the Alexandria database).

Geometry as extended XYZ:
```
4
Lattice="2.313 1.335 6.583 -2.313 1.335 6.583 0.000 -2.670 6.583" Properties=species:S:1:pos:R:3 pbc="T T T"
K 0.000 0.000 0.000
Tl 0.000 0.000 4.274
Tl 0.000 0.000 15.476
Zn 0.000 0.000 9.875
```

Summary:
* energy of formation: 0.003 eV per atom
* space group: R-3m, No. 166

Entry 18:
# K2TlZn

Crystalline K2TlZn at its relaxed geometry (GGA-PBEsol, the Alexandria database).

Geometry as extended XYZ:
```
4
Lattice="3.652 -5.026 0.000 3.652 5.026 0.000 0.000 0.000 3.713" Properties=species:S:1:pos:R:3 pbc="T T T"
K 1.826 2.513 0.000
K 1.826 -2.513 0.000
Tl 0.000 0.000 1.857
Zn 3.652 0.000 1.857
```

Summary:
* energy of formation: 0.187 eV per atom
* space group: Cmmm, No. 65

Entry 19:
# KZr4Tl

Crystalline KZr4Tl at its relaxed geometry (GGA-PBEsol, the Alexandria database).

Geometry as extended XYZ:
```
6
Lattice="0.000 4.190 4.190 4.190 0.000 4.190 4.190 4.190 0.000" Properties=species:S:1:pos:R:3 pbc="T T T"
K 0.000 0.000 0.000
Zr 5.230 3.150 3.150
Zr 3.150 5.230 3.150
Zr 3.150 3.150 5.230
Zr 5.230 5.230 5.230
Tl 2.095 2.095 2.095
```

Summary:
* energy of formation: 0.595 eV per atom
* space group: F-43m, No. 216

Entry 20:
# KW4

Crystalline KW4 at its relaxed geometry (GGA-PBEsol, the Alexandria database).

Geometry as extended XYZ:
```
5
Lattice="-3.081 3.081 2.319 3.081 -3.081 2.319 3.081 3.081 -2.319" Properties=species:S:1:pos:R:3 pbc="T T T"
K 0.000 0.000 0.000
W 2.672 1.203 0.000
W 1.879 -0.410 2.319
W 1.203 3.491 0.000
W 0.410 1.879 2.319
```

Summary:
* energy of formation: 1.482 eV per atom
* space group: I4/m, No. 87

| no. | calculated density (g/cm3) | D(E_F) (states/eV per cell) |
| --- | --- | --- |
| 1 | 12.51 | 2.57 |
| 2 | 7.30 | 2.95 |
| 3 | 10.41 | 3.79 |
| 4 | 5.08 | 5.72 |
| 5 | 4.23 | 2.57 |
| 6 | 5.57 | 4.84 |
| 7 | 4.44 | 3.71 |
| 8 | 5.10 | 5.02 |
| 9 | 5.34 | 4.72 |
| 10 | 4.37 | 3.73 |
| 11 | 5.05 | 5.29 |
| 12 | 4.11 | 2.65 |
| 13 | 7.56 | 1.63 |
| 14 | 4.34 | 3.01 |
| 15 | 8.16 | 2.20 |
| 16 | 3.83 | 1.92 |
| 17 | 6.99 | 1.86 |
| 18 | 4.24 | 3.24 |
| 19 | 6.87 | 6.44 |
| 20 | 14.60 | 4.37 |